First-principles (PBE) data for a geometry-optimized Cs3Au2Cl7 structure, as listed in Alexandria via LeMat-Bulk.

Energy relative to the elements, uncorrected (eV per atom): -1.13
Space-group type: No. 65

Cell: 5.1662 5.4038 13.5755 Å, 101.48 90.00 90.00°
Last column: nearest neighbours and their distance in Å.
Atoms (fractional coordinates):
Cs (0.5000, 0.5000, 0.0000)  12 Cl 3.59-3.74
Cs (0.5000, 0.6820, 0.3641)  8 Cl 3.50-3.75
Cs (0.5000, 0.3180, 0.6359)  8 Cl 3.50-3.75
Au (0.0000, 0.9042, 0.8084)  6 Cl 2.55-2.70
Au (0.0000, 0.0958, 0.1916)  6 Cl 2.55-2.70
Cl (0.0000, 0.4065, 0.8131)  2 Au 2.70
Cl (0.0000, 0.8083, 0.6167)  1 Au 2.55
Cl (0.0000, 0.0000, 0.0000)  2 Au 2.55
Cl (0.0000, 0.5935, 0.1869)  2 Au 2.70
Cl (0.5000, 0.0938, 0.1875)  2 Au 2.58
Cl (0.5000, 0.9062, 0.8125)  2 Au 2.58
Cl (0.0000, 0.1917, 0.3833)  1 Au 2.55